VASP calculation (PBE+U) on a geometry-optimized MnCdNF2 structure. Values from VASP.

Geometry as Quantum ESPRESSO input:
```
&SYSTEM
  ibrav = 0, nat = 5, ntyp = 4
/
ATOMIC_SPECIES
Cd 112.41 Cd.upf
Mn 54.94 Mn.upf
N 14.01 N.upf
F 19.00 F.upf
CELL_PARAMETERS angstrom
-3.350 -1.912 -1.077
2.096 -3.368 -0.542
-0.662 -1.042 3.911
ATOMIC_POSITIONS crystal
Cd 0.500 0.500 0.500
Mn 0.000 0.000 0.000
N 0.000 0.000 0.500
F 0.500 0.000 0.000
F 0.000 0.500 0.000
```

## Properties
The value obtained for the total energy is -0.18438 hartree per atom. The density of states at the Fermi level comes out at 0.24 states/eV/atom. The value obtained for the energy above the most stable polymorph in this dataset is 0 meV per atom. As for the space group: P4/mmm. Its spin magnetization is 0.79 μB per atom. For the calculated volume, the calculation gives 65.8 Å³ per cell.